[1]
Below is an optimized crystal structure of VAu, with properties calculated at the PBE-GGA level.

Values from the calculation:
- Calculated total energy: -6.066 eV per atom

a b c (Å): 6.1573 6.1573 6.1573
angles (deg): 96.77 96.77 139.84
With the nearest neighbours (Å) after each atom.
Sites, in units of the cell vectors:
V: 0.0000 0.3608 0.3608  1 V 2.28
V: 0.0000 0.6392 0.6392  1 V 2.28
V: 0.3608 0.0000 0.3608  1 V 2.28
V: 0.6392 0.0000 0.6392  1 V 2.28
Au: 0.3310 0.3310 0.6620  6 V 2.72-2.97, 4 Au 2.76-2.83
Au: 0.3310 0.6690 0.0000  6 V 2.72-2.97, 4 Au 2.76-2.83
Au: 0.6690 0.3310 0.0000  6 V 2.72-2.97, 4 Au 2.76-2.83
Au: 0.6690 0.6690 0.3379  6 V 2.72-2.97, 4 Au 2.76-2.83

[2]
Below is an optimized crystal structure of VAu, with properties calculated at the PBE-GGA level.

Values from the calculation:
- Calculated total energy: -5.988 eV per atom

a b c (Å): 4.8987 4.8987 4.8987
angles (deg): 33.34 33.34 33.34
With the nearest neighbours (Å) after each atom.
Sites, in units of the cell vectors:
V: 0.0000 0.0000 0.0000  6 V 2.81, 6 Au 2.82
Au: 0.5000 0.5000 0.5000  6 Au 2.81, 6 V 2.82